[1]
# ReAgRh

A relaxed structure of ReAgRh (PBE, Alexandria).

abc: 2.795 4.672 14.525
angles: 90.00 90.00 90.00
Space group Fmm2 (No. 42)
Unique sites:
Re 0.000 0.000 0.000 (multiplicity 4)
Ag 0.000 0.000 0.324 (multiplicity 4)
Rh 0.000 0.000 0.651 (multiplicity 4)

Properties
Its total magnetic moment is 0.000 μB/cell. The value obtained for the total energy is -7.19 eV per atom. The formation energy comes out at 1.09 eV per formula unit. The value obtained for the density of states at the Fermi level is 7.1 states/eV/cell. The polymorph energy (0 for the lowest one) comes out at 0.151 eV per atom.

---

[2]
# Y5PuAs6

A relaxed structure of Y5PuAs6 (PBE, Alexandria).

abc: 7.147 12.377 7.148
angles: 90.00 109.48 90.00
Space group C2/m (No. 12)
Unique sites:
Y 0.000 0.000 0.000 (multiplicity 2)
Y 0.000 0.167 0.500 (multiplicity 4)
Y 0.000 0.333 0.000 (multiplicity 4)
Pu 0.000 0.500 0.500 (multiplicity 2)
As 0.249 0.334 0.750 (multiplicity 8)
As 0.249 0.500 0.251 (multiplicity 4)

Properties
Its total magnetic moment is 9.693 μB/cell. The value obtained for the total energy is -7.67 eV per atom. The formation energy comes out at -17.50 eV per formula unit. The value obtained for the density of states at the Fermi level is 29.1 states/eV/cell.

---

[3]
# Na3LaSe3

A relaxed structure of Na3LaSe3 (PBE, Alexandria).

abc: 8.1646 8.1646 21.4685
angles: 90.00 90.00 120.00
Space group R-3 (No. 148, hexagonal axes)
Unique sites:
Na 0.0119 0.7239 0.1163 (multiplicity 18)
La 0.0000 0.0000 0.3335 (multiplicity 6)
Se 0.0071 0.6263 0.9220 (multiplicity 18)

Properties
The formation energy (no corrections) comes out at -1.408 eV/atom. Its total magnetic moment is 0.000 μB/cell. The value obtained for the total energy is -4.17 eV per atom. The value obtained for the density of states at the Fermi level is 0.0 states/eV/cell.

---

[4]
# Rb2GaHgP

A relaxed structure of Rb2GaHgP (PBE, Alexandria).

abc: 6.678 6.678 4.680
angles: 90.00 90.00 90.00
Space group P4/mmm (No. 123)
Unique sites:
Rb 0.000 0.500 0.000 (multiplicity 2)
Ga 0.000 0.000 0.500 (multiplicity 1)
Hg 0.500 0.500 0.500 (multiplicity 1)
P 0.000 0.000 0.000 (multiplicity 1)

Properties
Its total magnetic moment is 0.000 μB/cell. The value obtained for the total energy is -2.23 eV per atom. The formation energy comes out at -0.46 eV per formula unit. The value obtained for the density of states at the Fermi level is 3.4 states/eV/cell.

---

> The lowest total energy belongs to which entry?

Y5PuAs6

---

> What is the formula in the first record?

ReAgRh

---

> total magnetic moment of number 4 (Rb2GaHgP)?

0.000 μB/cell

---

> total energy of number 3 (Na3LaSe3)?

-4.17 eV per atom